No. 1
The following is a DFT calculation (PBE-GGA) of a relaxed structure of Ac6InAg5.

Computed properties:
Energy of formation from the pure elements (eV per atom): -0.287
Calculated density (g/cm³): 8.8
Space-group type: Immm (71)
Spin magnetization (μB per formula unit): 0.00

CIF file:
```
data_Ac6InAg5
_chemical_formula_sum 'Ac6 In1 Ag5'
_cell_length_a 9.759
_cell_length_b 9.759
_cell_length_c 9.759
_cell_angle_alpha 146.53
_cell_angle_beta 131.41
_cell_angle_gamma 60.29
_symmetry_space_group_name_H-M 'P 1'
_symmetry_Int_Tables_number 1
loop_
_symmetry_equiv_pos_as_xyz
'x,y,z'
loop_
_atom_site_label
_atom_site_type_symbol
_atom_site_fract_x
_atom_site_fract_y
_atom_site_fract_z
Ac1 Ac 0.077 0.331 0.747
Ac2 Ac 0.242 0.000 0.242
Ac3 Ac 0.416 0.669 0.747
Ac4 Ac 0.584 0.331 0.253
Ac5 Ac 0.758 0.000 0.758
Ac6 Ac 0.923 0.669 0.253
In1 In 0.500 0.500 0.000
Ag1 Ag 0.000 0.500 0.500
Ag2 Ag 0.167 0.167 0.000
Ag3 Ag 0.339 0.839 0.500
Ag4 Ag 0.661 0.161 0.500
Ag5 Ag 0.833 0.833 0.000
```

---

No. 2
The following is a DFT calculation (PBE-GGA) of a relaxed structure of AcIn4Ag2.

Computed properties:
Energy relative to the lowest polymorph listed for this composition (eV per atom): 0.000
Energy of formation from the pure elements (eV per atom): -0.267
Calculated density (g/cm³): 8.5
Space-group type: Pnma (62)
Spin magnetization (μB per formula unit): 0.00

CIF file:
```
data_AcIn4Ag2
_chemical_formula_sum 'Ac4 In16 Ag8'
_cell_length_a 19.249
_cell_length_b 4.957
_cell_length_c 7.407
_cell_angle_alpha 90.00
_cell_angle_beta 90.00
_cell_angle_gamma 90.00
_symmetry_space_group_name_H-M 'P 1'
_symmetry_Int_Tables_number 1
loop_
_symmetry_equiv_pos_as_xyz
'x,y,z'
loop_
_atom_site_label
_atom_site_type_symbol
_atom_site_fract_x
_atom_site_fract_y
_atom_site_fract_z
Ac1 Ac 0.137 0.250 0.008
Ac2 Ac 0.363 0.750 0.508
Ac3 Ac 0.637 0.250 0.492
Ac4 Ac 0.863 0.750 0.992
In1 In 0.036 0.750 0.817
In2 In 0.073 0.250 0.498
In3 In 0.183 0.750 0.315
In4 In 0.191 0.750 0.714
In5 In 0.309 0.250 0.214
In6 In 0.317 0.250 0.815
In7 In 0.427 0.750 0.998
In8 In 0.464 0.250 0.317
In9 In 0.536 0.750 0.683
In10 In 0.573 0.250 0.002
In11 In 0.683 0.750 0.185
In12 In 0.691 0.750 0.786
In13 In 0.809 0.250 0.286
In14 In 0.817 0.250 0.685
In15 In 0.927 0.750 0.502
In16 In 0.964 0.250 0.183
Ag1 Ag 0.037 0.750 0.231
Ag2 Ag 0.220 0.250 0.520
Ag3 Ag 0.280 0.750 0.020
Ag4 Ag 0.463 0.250 0.731
Ag5 Ag 0.537 0.750 0.269
Ag6 Ag 0.720 0.250 0.980
Ag7 Ag 0.780 0.750 0.480
Ag8 Ag 0.963 0.250 0.769
```

---

No. 3
The following is a DFT calculation (PBE-GGA) of a relaxed structure of Ac6InAg3.

Computed properties:
Energy of formation from the pure elements (eV per atom): -0.208
Calculated density (g/cm³): 8.4
Space-group type: P2_1/m (11)
Spin magnetization (μB per formula unit): 0.00

CIF file:
```
data_Ac6InAg3
_chemical_formula_sum 'Ac12 In2 Ag6'
_cell_length_a 10.941
_cell_length_b 5.111
_cell_length_c 13.485
_cell_angle_alpha 90.00
_cell_angle_beta 109.68
_cell_angle_gamma 90.00
_symmetry_space_group_name_H-M 'P 1'
_symmetry_Int_Tables_number 1
loop_
_symmetry_equiv_pos_as_xyz
'x,y,z'
loop_
_atom_site_label
_atom_site_type_symbol
_atom_site_fract_x
_atom_site_fract_y
_atom_site_fract_z
Ac1 Ac 0.018 0.250 0.118
Ac2 Ac 0.143 0.250 0.732
Ac3 Ac 0.190 0.750 0.532
Ac4 Ac 0.315 0.750 0.130
Ac5 Ac 0.379 0.250 0.382
Ac6 Ac 0.413 0.750 0.869
Ac7 Ac 0.587 0.250 0.131
Ac8 Ac 0.621 0.750 0.618
Ac9 Ac 0.685 0.250 0.870
Ac10 Ac 0.810 0.250 0.468
Ac11 Ac 0.857 0.750 0.268
Ac12 Ac 0.982 0.750 0.882
In1 In 0.409 0.250 0.655
In2 In 0.591 0.750 0.345
Ag1 Ag 0.060 0.250 0.369
Ag2 Ag 0.158 0.750 0.288
Ag3 Ag 0.249 0.250 0.978
Ag4 Ag 0.751 0.750 0.022
Ag5 Ag 0.842 0.250 0.712
Ag6 Ag 0.940 0.750 0.631
```

---

Q: The lowest calculated density belongs to which entry?
A: Ac6InAg3

---

Please write out number 3 again, unchanged.
The following is a DFT calculation (PBE-GGA) of a relaxed structure of Ac6InAg3.

Computed properties:
Energy of formation from the pure elements (eV per atom): -0.208
Calculated density (g/cm³): 8.4
Space-group type: P2_1/m (11)
Spin magnetization (μB per formula unit): 0.00

CIF file:
```
data_Ac6InAg3
_chemical_formula_sum 'Ac12 In2 Ag6'
_cell_length_a 10.941
_cell_length_b 5.111
_cell_length_c 13.485
_cell_angle_alpha 90.00
_cell_angle_beta 109.68
_cell_angle_gamma 90.00
_symmetry_space_group_name_H-M 'P 1'
_symmetry_Int_Tables_number 1
loop_
_symmetry_equiv_pos_as_xyz
'x,y,z'
loop_
_atom_site_label
_atom_site_type_symbol
_atom_site_fract_x
_atom_site_fract_y
_atom_site_fract_z
Ac1 Ac 0.018 0.250 0.118
Ac2 Ac 0.143 0.250 0.732
Ac3 Ac 0.190 0.750 0.532
Ac4 Ac 0.315 0.750 0.130
Ac5 Ac 0.379 0.250 0.382
Ac6 Ac 0.413 0.750 0.869
Ac7 Ac 0.587 0.250 0.131
Ac8 Ac 0.621 0.750 0.618
Ac9 Ac 0.685 0.250 0.870
Ac10 Ac 0.810 0.250 0.468
Ac11 Ac 0.857 0.750 0.268
Ac12 Ac 0.982 0.750 0.882
In1 In 0.409 0.250 0.655
In2 In 0.591 0.750 0.345
Ag1 Ag 0.060 0.250 0.369
Ag2 Ag 0.158 0.750 0.288
Ag3 Ag 0.249 0.250 0.978
Ag4 Ag 0.751 0.750 0.022
Ag5 Ag 0.842 0.250 0.712
Ag6 Ag 0.940 0.750 0.631
```